[1]
A plane-wave DFT calculation with PBE was carried out for crystalline NdGdCuIr at its relaxed geometry.

DFT formation energy   -0.4674 eV per atom
Energy   -8.42 eV per atom

The structure in extended XYZ format:
```
4
Lattice="4.983 0.000 0.000 2.492 4.316 0.000 2.492 1.439 4.069" Properties=species:S:1:pos:R:3 pbc="T T T"
Nd 4.983 2.877 2.034
Gd 0.000 0.000 0.000
Cu 2.492 1.439 1.017
Ir 7.475 4.316 3.052
```

=====

[2]
A plane-wave DFT calculation with PBE was carried out for crystalline GdNpCuIr at its relaxed geometry.

DFT formation energy   -0.1656 eV per atom
Energy   -10.16 eV per atom

The structure in extended XYZ format:
```
4
Lattice="4.893 0.000 0.000 2.447 4.238 0.000 2.447 1.413 3.995" Properties=species:S:1:pos:R:3 pbc="T T T"
Gd 0.000 0.000 0.000
Cu 7.340 4.238 2.996
Np 4.893 2.825 1.998
Ir 2.447 1.413 0.999
```